# 1
DFT (PBE) results for crystalline DyEr4Lu2Ni2Te2 at its relaxed geometry.

Calculated values
Excess energy over the best structure of this formula in the dataset: 0.009 eV per atom
E: -113.6 eV for the cell shown

abc: 3.8367 15.4326 9.4939
angles: 90.00 90.00 90.00
Last column: nearest neighbours and their distance in Å.
Space group Imm2 (No. 44)
Inequivalent atoms, fractional coordinates:
Dy 0.0000 0.0000 0.0000 x2  3 Te 3.19-3.22
Er 0.0000 0.3147 0.3760 x4  2 Ni 2.77
Er 0.0000 0.3535 0.7293 x4  2 Ni 2.82, 2 Te 3.14
Lu 0.0000 0.1346 0.5820 x4  2 Ni 2.77
Ni 0.0000 0.2366 0.0688 x4  2 Lu 2.77, 4 Er 2.77-2.82
Te 0.0000 0.0000 0.3394 x2  2 Lu 3.10, 4 Er 3.14, 1 Dy 3.22
Te 0.0000 0.5000 0.2321 x2  4 Lu 3.17, 2 Er 3.17, 2 Dy 3.19


# 2
DFT (PBE) results for crystalline Dy2Er3Lu2Ni2Te2 at its relaxed geometry.

Calculated values
Excess energy over the best structure of this formula in the dataset: 0.013 eV per atom
E: -113.5 eV for the cell shown

abc: 3.8173 15.3913 9.4586
angles: 90.00 90.00 90.00
Last column: nearest neighbours and their distance in Å.
Space group Imm2 (No. 44)
Inequivalent atoms, fractional coordinates:
Dy 0.0000 0.1342 0.0000 x4  2 Ni 2.77, 1 Te 3.10
Er 0.0000 0.0000 0.5812 x2  3 Te 3.16-3.19
Er 0.0000 0.3146 0.2048 x4  2 Ni 2.75
Lu 0.0000 0.3537 0.8531 x4  2 Ni 2.79
Ni 0.0000 0.2354 0.5121 x4  2 Er 2.75, 2 Dy 2.77, 2 Lu 2.79
Te 0.0000 0.0000 0.2442 x2  2 Dy 3.10, 4 Lu 3.13, 1 Er 3.19
Te 0.0000 0.5000 0.3476 x2  4 Er 3.16, 4 Dy 3.16


# 3
DFT (PBE) results for crystalline DyEr4Lu2Ni2Te2 at its relaxed geometry.

Calculated values
Excess energy over the best structure of this formula in the dataset: 0.011 eV per atom
E: -113.6 eV for the cell shown

abc: 3.8207 15.3952 9.4754
angles: 90.00 90.00 90.00
Last column: nearest neighbours and their distance in Å.
Space group Imm2 (No. 44)
Inequivalent atoms, fractional coordinates:
Dy 0.0000 0.0000 0.0000 x2  3 Te 3.17-3.20
Er 0.0000 0.1342 0.5811 x4  2 Ni 2.77, 1 Te 3.10
Er 0.0000 0.3145 0.3764 x4  2 Ni 2.76
Lu 0.0000 0.3534 0.7283 x4  2 Ni 2.79
Ni 0.0000 0.2357 0.0698 x4  4 Er 2.76-2.77, 2 Lu 2.79
Te 0.0000 0.0000 0.3375 x2  2 Er 3.10, 4 Lu 3.13, 1 Dy 3.20
Te 0.0000 0.5000 0.2327 x2  6 Er 3.16, 2 Dy 3.17


# 4
DFT (PBE) results for crystalline DyEr4Lu2Ni2Te2 at its relaxed geometry.

Calculated values
Excess energy over the best structure of this formula in the dataset: 0.000 eV per atom
E: -113.8 eV for the cell shown

abc: 3.8362 15.4339 9.4861
angles: 90.00 90.00 90.00
Last column: nearest neighbours and their distance in Å.
Space group Imm2 (No. 44)
Inequivalent atoms, fractional coordinates:
Dy 0.0000 0.0000 0.0000 x2  3 Te 3.18-3.21
Er 0.0000 0.1345 0.5820 x4  2 Ni 2.77, 1 Te 3.10
Er 0.0000 0.3533 0.7292 x4  2 Ni 2.81, 2 Te 3.14
Lu 0.0000 0.3147 0.3764 x4  2 Ni 2.76
Ni 0.0000 0.2361 0.0687 x4  2 Lu 2.76, 4 Er 2.77-2.81
Te 0.0000 0.0000 0.3387 x2  6 Er 3.10-3.14, 1 Dy 3.21
Te 0.0000 0.5000 0.2332 x2  2 Lu 3.17, 4 Er 3.17, 2 Dy 3.18


# 5
DFT (PBE) results for crystalline Dy2Er3Lu2Ni2Te2 at its relaxed geometry.

Calculated values
Excess energy over the best structure of this formula in the dataset: 0.000 eV per atom
E: -113.8 eV for the cell shown

abc: 3.8330 15.4279 9.4789
angles: 90.00 90.00 90.00
Last column: nearest neighbours and their distance in Å.
Space group Imm2 (No. 44)
Inequivalent atoms, fractional coordinates:
Dy 0.0000 0.1466 0.0000 x4  2 Ni 2.81, 2 Te 3.14
Er 0.0000 0.3655 0.8529 x4  2 Ni 2.77
Er 0.0000 0.5000 0.2707 x2  3 Te 3.17-3.21
Lu 0.0000 0.1852 0.6474 x4  2 Ni 2.76
Ni 0.0000 0.2637 0.3392 x4  2 Lu 2.76, 2 Er 2.77, 2 Dy 2.81
Te 0.0000 0.0000 0.5043 x2  2 Lu 3.16, 6 Er 3.17
Te 0.0000 0.5000 0.6096 x2  3 Er 3.10-3.21, 4 Dy 3.14


# 6
DFT (PBE) results for crystalline Dy2Er3Lu2Ni2Te2 at its relaxed geometry.

Calculated values
Excess energy over the best structure of this formula in the dataset: 0.001 eV per atom
E: -113.7 eV for the cell shown

abc: 3.8265 15.4236 9.4797
angles: 90.00 90.00 90.00
Last column: nearest neighbours and their distance in Å.
Space group Imm2 (No. 44)
Inequivalent atoms, fractional coordinates:
Dy 0.0000 0.1343 0.0000 x4  2 Ni 2.78, 1 Te 3.11
Er 0.0000 0.0000 0.4182 x2  3 Te 3.16-3.20
Er 0.0000 0.3535 0.1469 x4  2 Ni 2.80, 2 Te 3.14
Lu 0.0000 0.3148 0.7953 x4  2 Ni 2.75
Ni 0.0000 0.2356 0.4868 x4  2 Lu 2.75, 2 Dy 2.78, 2 Er 2.80
Te 0.0000 0.0000 0.7556 x2  2 Dy 3.11, 5 Er 3.14-3.20
Te 0.0000 0.5000 0.6529 x2  2 Lu 3.16, 2 Er 3.16, 4 Dy 3.17


- Which of these has the highest E?
  number 2


- Among the records above, which one has the highest E?
  number 2


- What is the formula in the fifth record?
  Dy2Er3Lu2Ni2Te2